(1)
DFT (PBE) results for crystalline LaPm8Si4 at its relaxed geometry.

Cell: 6.3500 8.1363 8.1363 Å, 81.24 67.03 67.03°
With the nearest neighbours (Å) after each atom.
Positions (direct):
La 0.0000 0.0000 0.0000  4 Pm 3.47
Pm 0.2844 0.2156 0.2156  4 Si 3.11, 4 Pm 3.23-3.39
Pm 0.5000 0.2156 0.7844  4 Si 3.11, 4 Pm 3.23-3.39
Pm 0.6727 0.3273 0.3273  4 Si 3.19, 4 Pm 3.39-3.52, 1 La 3.47
Pm 0.7156 0.7844 0.7844  4 Si 3.11, 4 Pm 3.23-3.39
Pm 0.0000 0.3273 0.6727  4 Si 3.19, 4 Pm 3.39-3.52, 1 La 3.47
Pm 0.3273 0.6727 0.6727  4 Si 3.19, 4 Pm 3.39-3.52, 1 La 3.47
Pm 0.5000 0.7844 0.2156  4 Si 3.11, 4 Pm 3.23-3.39
Pm 0.0000 0.6727 0.3273  4 Si 3.19, 4 Pm 3.39-3.52, 1 La 3.47
Si 0.5000 0.5000 0.0000  8 Pm 3.11-3.19, 2 Si 3.17
Si 0.0000 0.5000 0.0000  8 Pm 3.11-3.19, 2 Si 3.17
Si 0.5000 0.0000 0.5000  8 Pm 3.11-3.19, 2 Si 3.17
Si 0.0000 0.0000 0.5000  8 Pm 3.11-3.19, 2 Si 3.17

For the uncorrected formation energy, the calculation gives -0.3005 eV/atom. As for the density: 6.58 Mg/m³. The energy is -68.53 eV/cell.

***

(2)
DFT (PBE) results for crystalline La3PmSi2 at its relaxed geometry.

Cell: 8.2718 8.2718 8.2718 Å, 57.58 57.58 57.58°
With the nearest neighbours (Å) after each atom.
Positions (direct):
Pm 0.0000 0.0000 0.0000  2 Si 2.99
Pm 0.5000 0.5000 0.5000  2 Si 2.99
Si 0.6449 0.6449 0.6449  1 Pm 2.99, 6 La 3.10-3.16
Si 0.8551 0.8551 0.8551  1 Pm 2.99, 6 La 3.10-3.16
Si 0.1449 0.1449 0.1449  1 Pm 2.99, 6 La 3.10-3.16
Si 0.3551 0.3551 0.3551  1 Pm 2.99, 6 La 3.10-3.16
La 0.7500 0.4715 0.0285  4 Si 3.10-3.16, 2 Pm 3.37
La 0.4715 0.0285 0.7500  4 Si 3.10-3.16, 2 Pm 3.37
La 0.9715 0.2500 0.5285  4 Si 3.10-3.16, 2 Pm 3.37
La 0.5285 0.9715 0.2500  4 Si 3.10-3.16, 2 Pm 3.37
La 0.0285 0.7500 0.4715  4 Si 3.10-3.16, 2 Pm 3.37
La 0.2500 0.5285 0.9715  4 Si 3.10-3.16, 2 Pm 3.37

For the uncorrected formation energy, the calculation gives -0.2323 eV/atom. As for the density: 5.43 Mg/m³. The energy is -63.55 eV/cell. The offset from the most stable computed form is 1.53 eV/f.u.

***

(3)
DFT (PBE) results for crystalline La3PmSi4 at its relaxed geometry.

Cell: 4.2301 6.4655 9.1157 Å, 110.77 103.42 90.00°
With the nearest neighbours (Å) after each atom.
Positions (direct):
La 0.8044 0.8045 0.6088  6 Si 3.12-3.15
La 0.0000 0.5000 0.0000  8 Si 3.23
La 0.1956 0.1955 0.3912  6 Si 3.12-3.15
Si 0.6293 0.4478 0.2585  1 Si 2.35
Si 0.3707 0.5522 0.7415  1 Si 2.35
Si 0.3708 0.1893 0.7415  1 Si 2.35
Si 0.6292 0.8107 0.2585  1 Si 2.35
Pm 0.5000 0.0000 0.0000  4 Si 2.97

For the uncorrected formation energy, the calculation gives -0.5440 eV/atom. As for the density: 4.96 Mg/m³. The energy is -45.58 eV/cell.

***

(4)
DFT (PBE) results for crystalline La3PmSi2 at its relaxed geometry.

Cell: 4.5360 4.6450 8.9597 Å, 105.03 104.69 90.01°
With the nearest neighbours (Å) after each atom.
Positions (direct):
La 0.1830 0.6828 0.3660  5 Si 3.09-3.36
La 0.5000 0.5000 0.0000  4 Si 3.20, 4 Pm 3.25
La 0.8170 0.3172 0.6340  5 Si 3.09-3.36
Si 0.6324 0.1321 0.2641  7 La 3.09-3.36, 2 Pm 3.16
Si 0.3676 0.8679 0.7359  7 La 3.09-3.36, 2 Pm 3.16
Pm 0.0000 0.0000 0.0000  4 Si 3.16, 4 La 3.25

For the uncorrected formation energy, the calculation gives -0.4870 eV/atom. As for the density: 5.83 Mg/m³. The energy is -33.30 eV/cell. The offset from the most stable computed form is 0.00 eV/f.u.

***

(5)
DFT (PBE) results for crystalline La3Pm3Si4 at its relaxed geometry.

Cell: 4.4406 7.7912 7.7912 Å, 89.33 90.00 90.00°
With the nearest neighbours (Å) after each atom.
Positions (direct):
Si 0.0000 0.3847 0.6153  1 Si 2.45
Si 0.0000 0.1142 0.1065  1 Si 2.45
Si 0.0000 0.8935 0.8858  1 Si 2.45
Si 0.0000 0.6087 0.3913  1 Si 2.45
La 0.5000 0.8239 0.1761  6 Si 3.21-3.24
La 0.5000 0.6764 0.6788  6 Si 3.20-3.23
La 0.5000 0.3212 0.3236  6 Si 3.20-3.23
Pm 0.0000 0.9996 0.4993  4 Si 3.11-3.18
Pm 0.0000 0.5007 0.0004  4 Si 3.11-3.18
Pm 0.5000 0.1771 0.8229  6 Si 3.17-3.18

For the uncorrected formation energy, the calculation gives -0.6504 eV/atom. As for the density: 5.94 Mg/m³. The energy is -57.23 eV/cell.

***

(6)
DFT (PBE) results for crystalline La3Pm4Si4 at its relaxed geometry.

Cell: 4.8097 7.1511 9.7201 Å, 111.58 104.32 90.00°
With the nearest neighbours (Å) after each atom.
Positions (direct):
La 0.0988 0.0988 0.1977  4 Si 3.22, 4 Pm 3.34, 1 La 3.44
La 0.0000 0.5000 0.0000  6 Si 3.24-3.32
La 0.9012 0.9012 0.8023  4 Si 3.22, 4 Pm 3.34, 1 La 3.44
Pm 0.3284 0.5579 0.6568  4 Si 2.92-3.15
Pm 0.6716 0.9011 0.3432  4 Si 2.92-3.15
Pm 0.6716 0.4421 0.3432  4 Si 2.92-3.15
Pm 0.3284 0.0989 0.6568  4 Si 2.92-3.15
Si 0.5000 0.8209 0.0000  1 Si 2.56
Si 0.8143 0.3143 0.6287  6 Pm 2.92-3.15, 1 La 3.24
Si 0.1857 0.6857 0.3713  6 Pm 2.92-3.15, 1 La 3.24
Si 0.5000 0.1791 0.0000  1 Si 2.56

For the uncorrected formation energy, the calculation gives -0.4947 eV/atom. As for the density: 6.15 Mg/m³. The energy is -60.92 eV/cell.

***

Which of these has the lowest energy? LaPm8Si4